Below is a relaxed structure of TaV2PbO8, with properties calculated at the GGA+U level.

It has space group C2/m (No. 12), with a = 8.9051 Å, b = 5.8699 Å, c = 7.3067 Å, α = 90.00°, β = 90.30° and γ = 90.00°. The inequivalent atoms are Ta at (0.0000, 0.0000, 0.0000), V at (0.1408, 0.5000, 0.2261), Pb at (0.0000, 0.0000, 0.5000), O at (0.0331, 0.2365, 0.1947), O at (0.2131, 0.5000, 0.4397) and O at (0.2167, 0.0000, 0.9398).

For the total magnetization, the calculation gives 1.00 μB/f.u. For the energy, the calculation gives -7.8730 eV per atom.